This record from the Alexandria database describes an optimized crystal structure of MnAlMoIrF. The functional is PBE+U.

Structure (POSCAR):
```
MnAlMoIrF
1.0
4.6327 0.0000 0.0000
0.0000 2.9174 0.0000
-0.4050 0.0000 5.8324
Mn Al Mo Ir F
1 1 1 1 1
Cartesian
0.0000 0.0000 0.0000
1.9751 0.0000 4.1430
0.4758 1.4587 2.2936
2.3287 1.4587 0.4049
3.7451 0.0000 3.4756
```

## Properties
Electronic total energy: -5.99 eV per atom
Density: 8.20 g/cm³